Record 1
## Li2AlPt2 (GGA-PBE)

Data for an optimized crystal structure of Li2AlPt2.

Output
Its energy above the most stable polymorph in this dataset is 15 meV per atom.

Structure (CIF):
```
data_Li2AlPt2
_chemical_formula_sum 'Li4 Al2 Pt4'
_cell_length_a 7.420
_cell_length_b 4.296
_cell_length_c 5.279
_cell_angle_alpha 90.00
_cell_angle_beta 90.99
_cell_angle_gamma 90.00
_space_group_name_H-M_alt 'C 1 2/m 1'
_space_group_IT_number 12
loop_
_space_group_symop_operation_xyz
'x,y,z'
'-x,-y,-z'
'-x,y,-z'
'x,-y,z'
'x+1/2,y+1/2,z'
'-x+1/2,-y+1/2,-z'
'-x+1/2,y+1/2,-z'
'x+1/2,-y+1/2,z'
loop_
_atom_site_label
_atom_site_type_symbol
_atom_site_fract_x
_atom_site_fract_y
_atom_site_fract_z
Li1 Li 0.169 0.000 0.374
Al1 Al 0.000 0.500 0.000
Pt1 Pt 0.166 0.000 0.876
```

***

Record 2
## LiAlPt2 (GGA-PBE)

Data for an optimized crystal structure of LiAlPt2.

Structure (CIF):
```
data_LiAlPt2
_chemical_formula_sum 'Li2 Al2 Pt4'
_cell_length_a 8.283
_cell_length_b 2.858
_cell_length_c 5.022
_cell_angle_alpha 90.00
_cell_angle_beta 101.33
_cell_angle_gamma 90.00
_space_group_name_H-M_alt 'C 1 2/m 1'
_space_group_IT_number 12
loop_
_space_group_symop_operation_xyz
'x,y,z'
'-x,-y,-z'
'-x,y,-z'
'x,-y,z'
'x+1/2,y+1/2,z'
'-x+1/2,-y+1/2,-z'
'-x+1/2,y+1/2,-z'
'x+1/2,-y+1/2,z'
loop_
_atom_site_label
_atom_site_type_symbol
_atom_site_fract_x
_atom_site_fract_y
_atom_site_fract_z
Li1 Li 0.000 0.000 0.000
Al1 Al 0.000 0.500 0.500
Pt1 Pt 0.239 0.000 0.750
```

***

Record 3
## Li2AlPt (GGA-PBE)

Data for an optimized crystal structure of Li2AlPt.

Structure (CIF):
```
data_Li2AlPt
_chemical_formula_sum 'Li2 Al1 Pt1'
_cell_length_a 2.789
_cell_length_b 4.629
_cell_length_c 4.518
_cell_angle_alpha 90.00
_cell_angle_beta 95.21
_cell_angle_gamma 90.00
_space_group_name_H-M_alt 'P 1 2/m 1'
_space_group_IT_number 10
loop_
_space_group_symop_operation_xyz
'x,y,z'
'-x,-y,-z'
'-x,y,-z'
'x,-y,z'
loop_
_atom_site_label
_atom_site_type_symbol
_atom_site_fract_x
_atom_site_fract_y
_atom_site_fract_z
Li1 Li 0.242 0.000 0.266
Al1 Al 0.500 0.500 0.000
Pt1 Pt 0.000 0.500 0.500
```

***

Record 4
## LiAlPt2 (GGA-PBE)

Data for an optimized crystal structure of LiAlPt2.

Structure (CIF):
```
data_LiAlPt2
_chemical_formula_sum 'Li2 Al2 Pt4'
_cell_length_a 5.781
_cell_length_b 6.602
_cell_length_c 2.892
_cell_angle_alpha 90.00
_cell_angle_beta 90.16
_cell_angle_gamma 90.00
_space_group_name_H-M_alt 'C 1 2/m 1'
_space_group_IT_number 12
loop_
_space_group_symop_operation_xyz
'x,y,z'
'-x,-y,-z'
'-x,y,-z'
'x,-y,z'
'x+1/2,y+1/2,z'
'-x+1/2,-y+1/2,-z'
'-x+1/2,y+1/2,-z'
'x+1/2,-y+1/2,z'
loop_
_atom_site_label
_atom_site_type_symbol
_atom_site_fract_x
_atom_site_fract_y
_atom_site_fract_z
Li1 Li 0.000 0.000 0.000
Al1 Al 0.000 0.500 0.000
Pt1 Pt 0.250 0.250 0.500
```

***

The evaluated total magnetic moment for the records listed, in turn: 0.00 0.00 0.00 0.00 Bohr magnetons per cell.
The evaluated calculated formation energy for the records listed, in turn: -0.63 -0.69 -0.55 -0.92 eV/atom.
The evaluated VASP energy for the records listed, in turn: -45.648 -40.989 -15.801 -42.851 eV/cell.